VASP calculation (PBE+U) on a relaxed structure of CrGaNF2.

Geometry as CIF:
```
data_CrGaNF2
_cell_length_a 4.056
_cell_length_b 4.056
_cell_length_c 3.934
_cell_angle_alpha 90.00
_cell_angle_beta 90.00
_cell_angle_gamma 90.00
_symmetry_space_group_name_H-M 'P 4/m m m'
_symmetry_Int_Tables_number 123
_symmetry_space_group_name_Hall '-P 4 2'
loop_
_atom_site_label
_atom_site_type_symbol
_atom_site_fract_x
_atom_site_fract_y
_atom_site_fract_z
_atom_site_occupancy
Cr1 Cr 0.000 0.000 0.000 1
Ga1 Ga 0.500 0.500 0.500 1
N1 N 0.000 0.000 0.500 1
F1 F 0.000 0.500 0.000 1
```

Total magnetic moment   0.400 μB/atom
Polymorph energy (0 for the lowest one)   0.0000 eV per atom
Fermi-level density of states   1.435 states/eV per cell
E   -5.507 eV per atom